## 1
A relaxed CaAc8Pr2 crystal. Source: Alexandria, functional PBE-GGA.

Calculated values
As for the density of states at the Fermi level: 1.62 states/eV/atom. Its symmetry is Immm (71).

Lattice parameters (Å, degrees): 10.062 10.062 10.062 145.71 120.78 70.25
Atoms (fractional coordinates):
Ca 0.000 0.000 0.000
Ac 0.130 0.841 0.289
Ac 0.146 0.646 0.500
Ac 0.315 0.500 0.815
Ac 0.448 0.159 0.289
Ac 0.552 0.841 0.711
Ac 0.685 0.500 0.185
Ac 0.854 0.354 0.500
Ac 0.870 0.159 0.711
Pr 0.294 0.294 0.000
Pr 0.706 0.706 0.000

=====

## 2
A relaxed CaAc8Pr2 crystal. Source: Alexandria, functional PBE-GGA.

Calculated values
As for the density of states at the Fermi level: 1.27 states/eV/atom. Its symmetry is C2/m (12).

Lattice parameters (Å, degrees): 9.161 9.161 6.419 100.07 100.07 87.62
Atoms (fractional coordinates):
Ca 0.000 0.000 0.000
Ac 0.137 0.653 0.215
Ac 0.271 0.271 0.111
Ac 0.347 0.863 0.785
Ac 0.417 0.417 0.708
Ac 0.583 0.583 0.292
Ac 0.653 0.137 0.215
Ac 0.729 0.729 0.889
Ac 0.863 0.347 0.785
Pr 0.132 0.132 0.511
Pr 0.868 0.868 0.489

=====

Relative calculated energies, zero for the most stable structure, unit meV per atom: 1 0; 2 261.

=====

## 1
A relaxed Ca2Ac6Pr crystal. Source: Alexandria, functional PBE-GGA.

Calculated values
As for the density of states at the Fermi level: 1.71 states/eV/atom. Its symmetry is Cmmm (65).

Lattice parameters (Å, degrees): 9.327 9.327 5.808 90.00 90.00 125.12
Atoms (fractional coordinates):
Ca 0.218 0.782 0.000
Ca 0.782 0.218 0.000
Ac 0.150 0.434 0.500
Ac 0.265 0.265 0.000
Ac 0.434 0.150 0.500
Ac 0.566 0.850 0.500
Ac 0.735 0.735 0.000
Ac 0.850 0.566 0.500
Pr 0.000 0.000 0.500

=====

## 2
A relaxed Ca2Ac6Pr crystal. Source: Alexandria, functional PBE-GGA.

Calculated values
As for the density of states at the Fermi level: 1.85 states/eV/atom. Its symmetry is P-6m2 (187).

Lattice parameters (Å, degrees): 3.930 3.930 29.465 90.00 90.00 120.00
Atoms (fractional coordinates):
Ca 0.000 0.000 0.172
Ca 0.000 0.000 0.828
Ac 0.000 0.000 0.394
Ac 0.000 0.000 0.606
Ac 0.667 0.333 0.063
Ac 0.667 0.333 0.284
Ac 0.667 0.333 0.716
Ac 0.667 0.333 0.937
Pr 0.667 0.333 0.500

=====

Relative calculated energies, zero for the most stable structure, unit meV per atom: 1 224; 2 0.

=====

## 1
A relaxed CaAcPr2 crystal. Source: Alexandria, functional PBE-GGA.

Calculated values
As for the density of states at the Fermi level: 1.75 states/eV/atom. Its symmetry is R3m (160).

Lattice parameters (Å, degrees): 12.689 12.689 12.689 17.31 17.31 17.31
Atoms (fractional coordinates):
Ca 0.000 0.000 0.000
Ac 0.166 0.166 0.166
Pr 0.581 0.581 0.581
Pr 0.751 0.751 0.751

=====

## 2
A relaxed CaAcPr2 crystal. Source: Alexandria, functional PBE-GGA.

Calculated values
As for the density of states at the Fermi level: 1.42 states/eV/atom. Its symmetry is R-3m (166).

Lattice parameters (Å, degrees): 13.442 13.442 13.442 16.00 16.00 16.00
Atoms (fractional coordinates):
Ca 0.000 0.000 0.000
Ac 0.500 0.500 0.500
Pr 0.089 0.089 0.089
Pr 0.911 0.911 0.911

=====

Relative calculated energies, zero for the most stable structure, unit meV per atom: 1 0; 2 98.

=====

## 1
A relaxed CaAc3Pr2 crystal. Source: Alexandria, functional PBE-GGA.

Calculated values
As for the density of states at the Fermi level: 1.54 states/eV/atom. Its symmetry is C2/c (15).

Lattice parameters (Å, degrees): 6.732 6.732 12.838 110.56 110.56 70.07
Atoms (fractional coordinates):
Ca 0.124 0.876 0.750
Ca 0.876 0.124 0.250
Ac 0.042 0.293 0.585
Ac 0.293 0.042 0.085
Ac 0.376 0.624 0.250
Ac 0.624 0.376 0.750
Ac 0.707 0.958 0.915
Ac 0.958 0.707 0.415
Pr 0.211 0.461 0.924
Pr 0.461 0.211 0.424
Pr 0.539 0.789 0.576
Pr 0.789 0.539 0.076

=====

## 2
A relaxed CaAc3Pr2 crystal. Source: Alexandria, functional PBE-GGA.

Calculated values
As for the density of states at the Fermi level: 1.86 states/eV/atom. Its symmetry is C2/m (12).

Lattice parameters (Å, degrees): 12.035 12.035 12.577 121.05 121.05 18.75
Atoms (fractional coordinates):
Ca 0.106 0.106 0.222
Ca 0.894 0.894 0.778
Ac 0.112 0.112 0.743
Ac 0.227 0.227 0.608
Ac 0.444 0.444 0.573
Ac 0.556 0.556 0.427
Ac 0.773 0.773 0.392
Ac 0.888 0.888 0.257
Pr 0.221 0.221 0.092
Pr 0.442 0.442 0.067
Pr 0.558 0.558 0.933
Pr 0.779 0.779 0.908

=====

Relative calculated energies, zero for the most stable structure, unit meV per atom: 1 0; 2 9.

=====

## 1
A relaxed CaAc2Pr crystal. Source: Alexandria, functional PBE-GGA.

Calculated values
As for the density of states at the Fermi level: 1.12 states/eV/atom. Its symmetry is Pmmn (59).

Lattice parameters (Å, degrees): 3.890 12.550 6.793 90.00 90.00 90.00
Atoms (fractional coordinates):
Ca 0.250 0.250 0.081
Ca 0.750 0.750 0.919
Ac 0.250 0.004 0.744
Ac 0.250 0.496 0.744
Ac 0.750 0.504 0.256
Ac 0.750 0.996 0.256
Pr 0.250 0.750 0.423
Pr 0.750 0.250 0.577

=====

## 2
A relaxed CaAc2Pr crystal. Source: Alexandria, functional PBE-GGA.

Calculated values
As for the density of states at the Fermi level: 1.39 states/eV/atom. Its symmetry is P4/mmm (123).

Lattice parameters (Å, degrees): 5.572 5.572 5.317 90.00 90.00 90.00
Atoms (fractional coordinates):
Ca 0.000 0.000 0.000
Ac 0.000 0.500 0.500
Ac 0.500 0.000 0.500
Pr 0.500 0.500 0.000

=====

## 3
A relaxed CaAc2Pr crystal. Source: Alexandria, functional PBE-GGA.

Calculated values
As for the density of states at the Fermi level: 1.51 states/eV/atom. Its symmetry is Fm-3m (225).

Lattice parameters (Å, degrees): 6.183 6.183 6.183 60.00 60.00 60.00
Atoms (fractional coordinates):
Ca 0.000 0.000 0.000
Ac 0.250 0.250 0.250
Ac 0.750 0.750 0.750
Pr 0.500 0.500 0.500

=====

## 4
A relaxed CaAc2Pr crystal. Source: Alexandria, functional PBE-GGA.

Calculated values
As for the density of states at the Fermi level: 2.00 states/eV/atom. Its symmetry is R-3m (166).

Lattice parameters (Å, degrees): 13.821 13.821 13.821 15.78 15.78 15.78
Atoms (fractional coordinates):
Ca 0.000 0.000 0.000
Ac 0.414 0.414 0.414
Ac 0.586 0.586 0.586
Pr 0.500 0.500 0.500

=====

Relative calculated energies, zero for the most stable structure, unit meV per atom: 1 0; 2 24; 3 52; 4 203.

=====

## 1
A relaxed Ca4AcPr2 crystal. Source: Alexandria, functional PBE-GGA.

Calculated values
As for the density of states at the Fermi level: 1.23 states/eV/atom. Its symmetry is I4/mmm (139).

Lattice parameters (Å, degrees): 10.003 10.003 10.003 144.39 144.39 51.25
Atoms (fractional coordinates):
Ca 0.000 0.500 0.500
Ca 0.189 0.189 0.000
Ca 0.500 0.000 0.500
Ca 0.811 0.811 0.000
Ac 0.000 0.000 0.000
Pr 0.398 0.398 0.000
Pr 0.602 0.602 0.000

=====

## 2
A relaxed Ca4AcPr2 crystal. Source: Alexandria, functional PBE-GGA.

Calculated values
As for the density of states at the Fermi level: 1.52 states/eV/atom. Its symmetry is R-3m (166).

Lattice parameters (Å, degrees): 22.236 22.236 22.236 9.94 9.94 9.94
Atoms (fractional coordinates):
Ca 0.098 0.098 0.098
Ca 0.383 0.383 0.383
Ca 0.617 0.617 0.617
Ca 0.902 0.902 0.902
Ac 0.000 0.000 0.000
Pr 0.188 0.188 0.188
Pr 0.812 0.812 0.812

=====

Relative calculated energies, zero for the most stable structure, unit meV per atom: 1 642; 2 0.